## GeBi2HF (PBEsol)

Data for GeBi2HF after structural relaxation.

a = 5.5726 Å, b = 5.5726 Å, c = 3.8836 Å
α = 90.00°, β = 90.00°, γ = 90.00°
Atoms (fractional coordinates):
Ge  0.0000  0.0000  0.0000
Bi  0.0000  0.5000  0.0000
Bi  0.5000  0.0000  0.0000
H  0.5000  0.5000  0.5000
F  0.0000  0.0000  0.5000

## Properties
DOS at the Fermi energy	3.146	states/eV/cell
M_tot	0.17	μB/f.u.
mass density	7.0	g/cm³
total energy	-17.66	eV/cell